Entry i
Below is a geometry-optimized TbNdMgSc structure, with properties calculated at the PBE-GGA level.

```
TbNdMgSc
1.0
0.0000 3.8506 3.8506
3.8506 0.0000 3.8506
3.8506 3.8506 0.0000
Tb Nd Mg Sc
1 1 1 1
Cartesian
0.0000 0.0000 0.0000
3.8506 3.8506 3.8506
1.9253 1.9253 1.9253
5.7758 5.7758 5.7758
```

Results
Calculated density in g/cm³: 5.42
Density of states at the Fermi level in states/eV per atom: 1.18

Entry ii
Below is a geometry-optimized TbNdMgSc structure, with properties calculated at the PBE-GGA level.

```
TbNdMgSc
1.0
3.4761 0.0000 0.0000
0.0000 1.6695 10.0767
0.0000 -1.6695 10.0767
Tb Nd Mg Sc
1 1 1 1
Cartesian
0.0000 0.0000 0.0000
0.0000 0.0000 4.8318
1.7380 0.0000 12.4595
1.7380 0.0000 7.7418
```

Results
Calculated density in g/cm³: 5.29
Density of states at the Fermi level in states/eV per atom: 1.70

Quick one: least stable of them? entry ii

Entry i
Below is a geometry-optimized Nd2MgSe4 structure, with properties calculated at the PBE-GGA level.

```
Nd2MgSe4
1.0
8.5373 0.0000 0.0000
0.0000 7.5691 0.0000
0.0000 0.0000 12.3483
Nd Mg Se
8 4 16
Cartesian
0.3737 1.8923 2.2486
0.6764 5.6768 5.7952
3.5922 1.8923 11.9693
3.8949 5.6768 8.4228
4.6424 1.8923 3.9255
4.9451 5.6768 0.3789
7.8609 1.8923 6.5531
8.1636 5.6768 10.0997
1.6203 5.6768 1.0433
2.6484 1.8923 7.2174
5.8889 5.6768 5.1309
6.9171 1.8923 11.3050
0.8092 1.8923 11.6367
1.1930 3.8254 8.0964
1.1930 7.5283 8.0964
1.8291 1.8923 4.8029
2.4396 5.6768 10.9770
3.0756 0.0409 1.9222
3.0756 3.7437 1.9222
3.4595 5.6768 5.4626
5.0778 1.8923 6.8857
5.4617 3.8254 10.4261
5.4617 7.5283 10.4261
6.0977 1.8923 1.3713
6.7083 5.6768 7.5454
7.3443 0.0409 4.2519
7.3443 3.7437 4.2519
7.7282 5.6768 0.7116
```

Results
Calculated density in g/cm³: 5.23

Entry ii
Below is a geometry-optimized Nd2MgSe4 structure, with properties calculated at the PBE-GGA level.

```
Nd2MgSe4
1.0
-4.3565 4.3565 4.6085
4.3565 -4.3565 4.6085
4.3565 4.3565 -4.6085
Nd Mg Se
4 2 8
Cartesian
2.1783 1.1015 -1.1521
3.2550 -2.1783 5.7606
2.1783 3.2550 3.4564
1.1015 6.5348 1.1521
4.3565 0.0000 2.3043
0.0000 0.0000 4.6085
3.7588 -2.6387 2.8322
6.9952 -0.5977 1.7763
4.9542 1.7178 -0.5280
1.7178 0.5977 1.7763
1.7178 3.7588 0.5280
4.9542 2.6387 2.8322
2.6387 0.5977 5.1365
-0.5977 2.6387 4.0805
```

Results
Calculated density in g/cm³: 5.97
Density of states at the Fermi level in states/eV per atom: 0.00

Quick one: least stable of them? entry i

Entry i
Below is a geometry-optimized Nd2MgSe4 structure, with properties calculated at the PBE-GGA level.

```
Nd2MgSe4
1.0
14.5660 0.0000 0.0000
0.0000 8.5513 0.0000
0.0000 0.0000 6.9734
Nd Mg Se
8 4 16
Cartesian
0.0000 0.0000 0.0000
0.0000 4.2756 0.0000
3.3832 2.1378 3.4235
3.8998 6.4135 6.9101
7.2830 0.0000 3.4867
7.2830 4.2756 3.4867
10.6661 2.1378 0.0632
11.1828 6.4135 3.5499
1.3731 6.4135 2.8772
5.9098 2.1378 6.3639
8.6561 6.4135 0.6095
13.1928 2.1378 4.0961
1.0071 2.1378 5.1835
1.3145 6.4135 5.4245
2.4831 4.3926 1.6652
2.4831 8.4343 1.6652
4.7999 0.1169 5.1519
4.7999 4.1587 5.1519
5.9685 2.1378 1.9378
6.2759 6.4135 1.6969
8.2901 2.1378 5.2765
8.5975 6.4135 5.0356
9.7660 4.3926 1.8214
9.7660 8.4343 1.8214
12.0829 0.1169 5.3081
12.0829 4.1587 5.3081
13.2515 2.1378 1.5489
13.5589 6.4135 1.7898
```

Results
Calculated density in g/cm³: 4.81
Density of states at the Fermi level in states/eV per atom: 0.00

Entry ii
Below is a geometry-optimized Nd2MgSe4 structure, with properties calculated at the PBE-GGA level.

```
Nd2MgSe4
1.0
6.9873 0.0000 0.0000
0.6154 9.7132 0.0000
3.2773 3.4565 12.7552
Nd Mg Se
8 4 16
Cartesian
1.7516 1.2131 0.2152
4.3352 8.7878 8.4398
3.0414 1.7341 4.7249
3.0866 7.3549 3.4271
7.7934 5.8148 9.3281
7.8386 11.4357 8.0303
6.5448 4.3819 4.3154
9.1284 11.9566 12.5400
1.9976 5.1994 0.0024
4.3004 4.0483 8.9724
6.5797 9.1214 3.7828
8.8824 7.9704 12.7528
3.3808 9.5473 11.2076
1.0736 8.6751 1.6062
3.2800 6.2323 8.0096
3.7299 11.6603 7.7471
3.7212 4.4529 4.1330
4.5027 8.8104 5.5032
4.4919 10.0193 2.1753
4.0930 6.4411 0.8679
6.7870 6.7286 11.8873
6.3882 3.1504 10.5798
6.3773 4.3593 7.2519
7.1588 8.7169 8.6222
7.1501 1.5094 5.0081
7.6001 6.9374 4.7456
9.8064 4.4946 11.1490
7.4992 3.6224 1.5476
```

Results
Calculated density in g/cm³: 4.82
Density of states at the Fermi level in states/eV per atom: 0.00

Quick one: least stable of them? entry ii

Entry i
Below is a geometry-optimized Nd2MgSe4 structure, with properties calculated at the PBE-GGA level.

```
Nd2MgSe4
1.0
0.0000 5.9954 5.9954
5.9954 0.0000 5.9954
5.9954 5.9954 0.0000
Nd Mg Se
4 2 8
Cartesian
0.0000 0.0000 0.0000
2.9977 2.9977 0.0000
2.9977 0.0000 2.9977
0.0000 2.9977 2.9977
4.4965 4.4965 4.4965
7.4942 7.4942 7.4942
9.0233 5.9651 5.9651
2.9674 2.9674 2.9674
6.0257 6.0257 2.9674
6.0257 2.9674 6.0257
5.9651 9.0233 5.9651
5.9651 5.9651 9.0233
9.0233 9.0233 9.0233
2.9674 6.0257 6.0257
```

Results
Calculated density in g/cm³: 4.84

Entry ii
Below is a geometry-optimized Nd2MgSe4 structure, with properties calculated at the PBE-GGA level.

```
Nd2MgSe4
1.0
13.5213 0.0000 0.0000
0.0000 4.1375 0.0000
0.0000 0.0000 14.6231
Nd Mg Se
8 4 16
Cartesian
1.6247 1.0344 1.0798
1.8127 1.0344 10.2997
4.9480 3.1032 2.9882
5.1360 3.1032 8.3914
8.3853 1.0344 6.2317
8.5734 1.0344 11.6349
11.7086 3.1032 4.3234
11.8967 3.1032 13.5433
1.4399 3.1032 6.7922
5.3207 1.0344 14.1037
8.2006 3.1032 0.5193
12.0814 1.0344 7.8309
0.0063 1.0344 5.6224
13.5150 3.1032 9.0006
0.3679 1.0344 12.9264
3.0801 1.0344 3.5983
3.1439 1.0344 7.5141
3.6167 3.1032 0.2025
3.6806 3.1032 10.9099
6.3928 3.1032 5.6148
6.7670 1.0344 1.6891
6.7544 3.1032 12.9340
7.1286 1.0344 9.0083
9.8407 1.0344 3.7132
9.9046 1.0344 14.4205
10.3774 3.1032 7.1090
10.4413 3.1032 11.0248
13.1534 3.1032 1.6967
```

Results
Calculated density in g/cm³: 5.10

Entry iii
Below is a geometry-optimized Nd2MgSe4 structure, with properties calculated at the PBE-GGA level.

```
Nd2MgSe4
1.0
7.0265 0.0000 0.0000
0.0000 7.6896 0.0000
0.0000 0.0000 14.5164
Nd Mg Se
8 4 16
Cartesian
0.0334 0.8336 2.0622
0.0334 3.0112 9.3204
3.4799 4.6784 2.0622
3.4799 6.8560 9.3204
3.5467 0.8336 5.1960
3.5467 3.0112 12.4542
6.9931 4.6784 5.1960
6.9931 6.8560 12.4542
0.0000 0.0000 7.2582
0.0000 3.8448 0.0000
3.5133 0.0000 0.0000
3.5133 3.8448 7.2582
0.8845 4.1101 11.9004
0.8845 7.4243 4.6422
1.2867 5.2759 7.8878
1.2867 6.2586 0.6296
2.2266 1.4311 7.8878
2.2266 2.4138 0.6296
2.6288 0.2653 11.9004
2.6288 3.5795 4.6422
4.3977 4.1101 9.8742
4.3977 7.4243 2.6160
4.7999 5.2759 13.8868
4.7999 6.2586 6.6286
5.7399 1.4311 13.8868
5.7399 2.4138 6.6286
6.1421 0.2653 9.8742
6.1421 3.5795 2.6160
```

Results
Calculated density in g/cm³: 5.32
Density of states at the Fermi level in states/eV per atom: 0.00

Quick one: least stable of them? entry ii